1.
## GdPt (GGA-PBE)

Data for a relaxed GdPt crystal.

The structure belongs to space group R-3m (No. 166, hexagonal axes); the cell edges are 4.0184, 4.0184 and 10.3394 Å and the angles 90.00°, 90.00° and 120.00°. The asymmetric unit holds Gd at (0.0000, 0.0000, 0.0000) and Pt at (0.0000, 0.0000, 0.5000).

Its formation energy is -1.10 eV per atom.


2.
## GdPt7 (GGA-PBE)

Data for a relaxed GdPt7 crystal.

The structure belongs to space group Fm-3m (No. 225); the cell edges are 8.0810, 8.0810 and 8.0810 Å and the angles 90.00°, 90.00° and 90.00°. The asymmetric unit holds Gd at (0.0000, 0.0000, 0.0000), Pt at (0.0000, 0.0000, 0.5000) and Pt at (0.0000, 0.2500, 0.2500).

Its formation energy is -0.46 eV per atom.


3.
## Gd7Pt3 (GGA-PBE)

Data for a relaxed Gd7Pt3 crystal.

The structure belongs to space group P6_3mc (No. 186); the cell edges are 9.9459, 9.9459 and 6.2954 Å and the angles 90.00°, 90.00° and 120.00°. The asymmetric unit holds Gd at (0.0761, 0.5380, 0.0000), Gd at (0.1262, 0.2524, 0.6973), Gd at (0.3333, 0.6667, 0.4978) and Pt at (0.1899, 0.3799, 0.2600).

Its formation energy is -0.81 eV per atom.


4.
## GdPt (GGA-PBE)

Data for a relaxed GdPt crystal.

The structure belongs to space group F-43m (No. 216); the cell edges are 6.3675, 6.3675 and 6.3675 Å and the angles 90.00°, 90.00° and 90.00°. The asymmetric unit holds Gd at (0.0000, 0.0000, 0.0000) and Pt at (0.2500, 0.2500, 0.7500).

Its formation energy is -0.49 eV per atom.


5.
## RbGdPt (GGA-PBE)

Data for a relaxed RbGdPt crystal.

The structure belongs to space group F-43m (No. 216); the cell edges are 7.2013, 7.2013 and 7.2013 Å and the angles 90.00°, 90.00° and 90.00°. The asymmetric unit holds Rb at (0.0000, 0.0000, 0.0000), Gd at (0.0000, 0.0000, 0.5000) and Pt at (0.2500, 0.2500, 0.7500).

For the uncorrected energy, the calculation gives -47.22 eV per cell.


6.
## RbGdPtS3 (GGA-PBE)

Data for a relaxed RbGdPtS3 crystal.

The structure belongs to space group Cmcm (No. 63); the cell edges are 3.9673, 15.6488 and 10.1794 Å and the angles 90.00°, 90.00° and 90.00°. The asymmetric unit holds Rb at (0.0000, 0.2469, 0.2500), Gd at (0.0000, 0.0000, 0.0000), Pt at (0.0000, 0.4918, 0.7500), S at (0.0000, 0.0803, 0.7500) and S at (0.0000, 0.3868, 0.5789).

For the uncorrected energy, the calculation gives -124.42 eV per cell.


7.
## RbGdPtSe3 (GGA-PBE)

Data for a relaxed RbGdPtSe3 crystal.

The structure belongs to space group Cmcm (No. 63); the cell edges are 4.0919, 16.5584 and 10.2759 Å and the angles 90.00°, 90.00° and 90.00°. The asymmetric unit holds Rb at (0.0000, 0.2463, 0.2500), Gd at (0.0000, 0.0000, 0.0000), Pt at (0.0000, 0.4918, 0.7500), Se at (0.0000, 0.0847, 0.7500) and Se at (0.0000, 0.3846, 0.5771).

For the uncorrected energy, the calculation gives -115.69 eV per cell.


8.
## GdRePt (GGA-PBE)

Data for a relaxed GdRePt crystal.

The structure belongs to space group F-43m (No. 216); the cell edges are 6.4287, 6.4287 and 6.4287 Å and the angles 90.00°, 90.00° and 90.00°. The asymmetric unit holds Gd at (0.0000, 0.0000, 0.0000), Re at (0.0000, 0.0000, 0.5000) and Pt at (0.2500, 0.2500, 0.2500).

Its formation energy is 0.35 eV per atom.


9.
## Gd2SbPt8 (GGA-PBE)

Data for a relaxed Gd2SbPt8 crystal.

The structure belongs to space group Amm2 (No. 38); the cell edges are 4.3200, 17.5768 and 5.5933 Å and the angles 90.00°, 90.00° and 90.00°. The asymmetric unit holds Gd at (0.0000, 0.1299, 0.0000), Sb at (0.5000, 0.0000, 0.3248), Pt at (0.0000, 0.0000, 0.5964), Pt at (0.0000, 0.2038, 0.5221), Pt at (0.5000, 0.0000, 0.8937), Pt at (0.5000, 0.1181, 0.5824) and Pt at (0.5000, 0.2409, 0.2667).

For the uncorrected energy, the calculation gives -139.84 eV per cell.


10.
## GdScSi2Pt4 (GGA-PBE)

Data for a relaxed GdScSi2Pt4 crystal.

The structure belongs to space group Amm2 (No. 38); the cell edges are 7.0643, 3.8130 and 10.0508 Å and the angles 90.00°, 90.00° and 90.00°. The asymmetric unit holds Gd at (0.0000, 0.0000, 0.0000), Sc at (0.5000, 0.0000, 0.1022), Si at (0.0000, 0.0000, 0.2827), Si at (0.5000, 0.0000, 0.8210), Pt at (0.2046, 0.0000, 0.6946) and Pt at (0.3028, 0.0000, 0.4124).

For the uncorrected energy, the calculation gives -110.14 eV per cell.


11.
## Gd3Tm2ScTe2Pt (GGA-PBE)

Data for a relaxed Gd3Tm2ScTe2Pt crystal.

The structure belongs to space group Amm2 (No. 38); the cell edges are 3.9834, 14.2557 and 8.2738 Å and the angles 90.00°, 90.00° and 90.00°. The asymmetric unit holds Gd at (0.0000, 0.0000, 0.0000), Gd at (0.0000, 0.1976, 0.3938), Tm at (0.5000, 0.1189, 0.7147), Sc at (0.5000, 0.0000, 0.3499), Te at (0.5000, 0.1656, 0.0947) and Pt at (0.0000, 0.0000, 0.5760).

For the uncorrected energy, the calculation gives -100.03 eV per cell.


12.
## GdSi4Pt3 (GGA-PBE)

Data for a relaxed GdSi4Pt3 crystal.

The structure belongs to space group Pm (No. 6); the cell edges are 5.5211, 3.8227 and 6.6022 Å and the angles 90.00°, 101.88° and 90.00°. The asymmetric unit holds Gd at (0.0000, 0.0000, 0.0000), Si at (0.1505, 0.5000, 0.7078), Si at (0.4913, 0.0000, 0.2907), Si at (0.4970, 0.0000, 0.7608), Si at (0.8586, 0.5000, 0.3119), Pt at (0.1407, 0.0000, 0.4743), Pt at (0.4916, 0.5000, 0.0216) and Pt at (0.7000, 0.5000, 0.6280).

For the uncorrected energy, the calculation gives -49.39 eV per cell.


13.
## GdSiPt (GGA-PBE)

Data for a relaxed GdSiPt crystal.

The structure belongs to space group F-43m (No. 216); the cell edges are 6.5805, 6.5805 and 6.5805 Å and the angles 90.00°, 90.00° and 90.00°. The asymmetric unit holds Gd at (0.0000, 0.0000, 0.0000), Si at (0.2500, 0.2500, 0.2500) and Pt at (0.2500, 0.2500, 0.7500).

For the uncorrected energy, the calculation gives -66.06 eV per cell.


14.
## Gd2SiPt (GGA-PBE)

Data for a relaxed Gd2SiPt crystal.

The structure belongs to space group Pmn2_1 (No. 31); the cell edges are 4.2836, 7.4444 and 5.7670 Å and the angles 90.00°, 90.00° and 90.00°. The asymmetric unit holds Gd at (0.0000, 0.0633, 0.0000), Gd at (0.0000, 0.5826, 0.2366), Si at (0.0000, 0.7043, 0.7296) and Pt at (0.0000, 0.2110, 0.4974).

The distance to the lowest polymorph of the same formula comes out at 8 meV per atom.


15.
## GdSiPt (GGA-PBE)

Data for a relaxed GdSiPt crystal.

The structure belongs to space group I4_1md (No. 109); the cell edges are 4.1274, 4.1274 and 14.4491 Å and the angles 90.00°, 90.00° and 90.00°. The asymmetric unit holds Gd at (0.0000, 0.0000, 0.0000), Si at (0.0000, 0.0000, 0.4190) and Pt at (0.0000, 0.0000, 0.5852).

For the uncorrected energy, the calculation gives -78.57 eV per cell.


16.
## Gd4Si3Pt (GGA-PBE)

Data for a relaxed Gd4Si3Pt crystal.

The structure belongs to space group Pm (No. 6); the cell edges are 5.8206, 3.9651 and 7.9067 Å and the angles 90.00°, 90.89° and 90.00°. The asymmetric unit holds Gd at (0.0000, 0.0000, 0.0000), Gd at (0.2371, 0.5000, 0.6573), Gd at (0.5067, 0.5000, 0.1543), Gd at (0.7461, 0.0000, 0.5232), Si at (0.0016, 0.5000, 0.2928), Si at (0.2483, 0.0000, 0.3692), Si at (0.4890, 0.0000, 0.8734) and Pt at (0.7533, 0.5000, 0.7944).

For the uncorrected energy, the calculation gives -48.10 eV per cell.


17.
## Gd2SiPt (GGA-PBE)

Data for a relaxed Gd2SiPt crystal.

The structure belongs to space group Pmc2_1 (No. 26); the cell edges are 4.2368, 5.7442 and 7.5219 Å and the angles 90.00°, 90.00° and 90.00°. The asymmetric unit holds Gd at (0.0000, 0.1128, 0.0000), Gd at (0.5000, 0.3779, 0.6439), Si at (0.0000, 0.3819, 0.3626) and Pt at (0.5000, 0.1168, 0.2817).

The distance to the lowest polymorph of the same formula comes out at 0 meV per atom.


18.
## Gd2SiPt (GGA-PBE)

Data for a relaxed Gd2SiPt crystal.

The structure belongs to space group P2_1/m (No. 11); the cell edges are 5.7622, 4.0110 and 7.9591 Å and the angles 90.00°, 92.12° and 90.00°. The asymmetric unit holds Gd at (0.1236, 0.2500, 0.3283), Gd at (0.3724, 0.2500, 0.8118), Si at (0.1228, 0.7500, 0.0369) and Pt at (0.3452, 0.7500, 0.5467).

The distance to the lowest polymorph of the same formula comes out at 44 meV per atom.


19.
## GdSiPt (GGA-PBE)

Data for a relaxed GdSiPt crystal.

The structure belongs to space group F-43m (No. 216); the cell edges are 6.3254, 6.3254 and 6.3254 Å and the angles 90.00°, 90.00° and 90.00°. The asymmetric unit holds Gd at (0.0000, 0.0000, 0.0000), Si at (0.2500, 0.2500, 0.2500) and Pt at (0.0000, 0.0000, 0.5000).

For the uncorrected energy, the calculation gives -72.44 eV per cell.


20.
## Gd4SiPt3 (GGA-PBE)

Data for a relaxed Gd4SiPt3 crystal.

The structure belongs to space group Pm (No. 6); the cell edges are 5.7107, 4.3526 and 7.3904 Å and the angles 90.00°, 90.07° and 90.00°. The asymmetric unit holds Gd at (0.0000, 0.0000, 0.0000), Gd at (0.2275, 0.0000, 0.4927), Gd at (0.4919, 0.5000, 0.1296), Gd at (0.7290, 0.5000, 0.6392), Si at (0.7251, 0.0000, 0.3552), Pt at (0.2071, 0.5000, 0.7713), Pt at (0.5153, 0.0000, 0.8599) and Pt at (0.9946, 0.5000, 0.2803).

For the uncorrected energy, the calculation gives -51.09 eV per cell.


21.
## GdTmSi2Pt4 (GGA-PBE)

Data for a relaxed GdTmSi2Pt4 crystal.

The structure belongs to space group Amm2 (No. 38); the cell edges are 7.1095, 3.8671 and 10.1998 Å and the angles 90.00°, 90.00° and 90.00°. The asymmetric unit holds Gd at (0.0000, 0.0000, 0.0000), Tm at (0.5000, 0.0000, 0.8965), Si at (0.0000, 0.0000, 0.7172), Si at (0.5000, 0.0000, 0.1788), Pt at (0.2016, 0.0000, 0.3049) and Pt at (0.3014, 0.0000, 0.5903).

For the uncorrected energy, the calculation gives -106.93 eV per cell.


22.
## GdYSi2Pt4 (GGA-PBE)

Data for a relaxed GdYSi2Pt4 crystal.

The structure belongs to space group Amm2 (No. 38); the cell edges are 7.1017, 3.9091 and 10.2107 Å and the angles 90.00°, 90.00° and 90.00°. The asymmetric unit holds Gd at (0.0000, 0.0000, 0.0000), Y at (0.5000, 0.0000, 0.1061), Si at (0.0000, 0.0000, 0.2830), Si at (0.5000, 0.0000, 0.8234), Pt at (0.2000, 0.0000, 0.6977) and Pt at (0.3007, 0.0000, 0.4087).

For the uncorrected energy, the calculation gives -110.76 eV per cell.


23.
## SmGdSn2Pt4 (GGA-PBE)

Data for a relaxed SmGdSn2Pt4 crystal.

The structure belongs to space group P-6m2 (No. 187); the cell edges are 4.5963, 4.5963 and 9.1767 Å and the angles 90.00°, 90.00° and 120.00°. The asymmetric unit holds Sm at (0.0000, 0.0000, 0.0000), Gd at (0.6667, 0.3333, 0.5000), Sn at (0.3333, 0.6667, 0.2520), Pt at (0.0000, 0.0000, 0.3401) and Pt at (0.6667, 0.3333, 0.1632).

For the uncorrected energy, the calculation gives -49.47 eV per cell.


24.
## GdSnPt (GGA-PBE)

Data for a relaxed GdSnPt crystal.

The structure belongs to space group P-62m (No. 189); the cell edges are 8.2707, 8.2707 and 3.4122 Å and the angles 90.00°, 90.00° and 120.00°. The asymmetric unit holds Gd at (0.0000, 0.2956, 0.0000), Sn at (0.0000, 0.0000, 0.5000), Sn at (0.3333, 0.6667, 0.0000) and Pt at (0.0000, 0.6461, 0.5000).

For the uncorrected energy, the calculation gives -48.85 eV per cell.


25.
## GdSnPt2 (GGA-PBE)

Data for a relaxed GdSnPt2 crystal.

The structure belongs to space group P-3m1 (No. 164); the cell edges are 4.5804, 4.5804 and 9.1306 Å and the angles 90.00°, 90.00° and 120.00°. The asymmetric unit holds Gd at (0.3333, 0.6667, 0.2501), Sn at (0.0000, 0.0000, 0.0000), Sn at (0.0000, 0.0000, 0.5000), Pt at (0.3333, 0.6667, 0.5886) and Pt at (0.3333, 0.6667, 0.9101).

For the uncorrected energy, the calculation gives -49.53 eV per cell.


Number 1: magnetization 0.0 μB per cell. Number 2: magnetization 0.0 μB per cell. Number 3: magnetization 1.8 μB per cell. Number 4: magnetization 0.2 μB per cell. Number 5: magnetization 0.0 μB per cell. Number 6: magnetization 0.1 μB per cell. Number 7: magnetization 0.0 μB per cell. Number 8: magnetization 7.7 μB per cell. Number 9: magnetization 0.0 μB per cell. Number 10: magnetization 0.0 μB per cell. Number 11: magnetization 0.2 μB per cell. Number 12: magnetization 0.0 μB per cell. Number 13: magnetization 0.0 μB per cell. Number 14: magnetization 0.0 μB per cell. Number 15: magnetization 0.0 μB per cell. Number 16: magnetization 0.0 μB per cell. Number 17: magnetization 0.0 μB per cell. Number 18: magnetization 0.0 μB per cell. Number 19: magnetization 0.0 μB per cell. Number 20: magnetization 0.0 μB per cell. Number 21: magnetization 0.0 μB per cell. Number 22: magnetization 0.0 μB per cell. Number 23: magnetization 0.0 μB per cell. Number 24: magnetization 0.0 μB per cell. Number 25: magnetization 0.0 μB per cell.